This record from Alexandria via LeMat-Bulk describes a relaxed structure of Ca2AsPt. The functional is GGA-PBE.

Output
electronic total energy: -18.27 eV/cell
E_form: -895 meV per atom

a b c (Å): 5.2190 3.2718 5.2188
angles (deg): 90.00 90.00 90.00
Positions (direct):
As1 0.5000 0.6253 0.8746
Ca1 0.0000 0.1250 0.8754
Ca2 0.5000 0.1252 0.3747
Pt1 0.0000 0.6245 0.3754